No. 1
The following is a SCAN calculation of a crystal of ScNbBi2Ru relaxed with PBEsol, from the Alexandria database.

a = 4.5477 Å, b = 5.3135 Å, c = 5.3135 Å
α = 90.00°, β = 90.00°, γ = 90.00°
Site moments in Bohr magnetons follow the coordinates.
Fractional positions:
Sc (0.0000, 0.0000, 0.0000)  -0.06
Ru (0.5000, 0.5000, 0.5000)  1.98
Nb (0.5000, 0.0000, 0.0000)  -0.89
Bi (0.0000, 0.0000, 0.5000)  -0.01
Bi (0.0000, 0.5000, 0.0000)  -0.01

Output
Calculated density in g/cm3: 8.5
DFT formation energy in eV per atom: 1.554

No. 2
The following is a SCAN calculation of a crystal of NaInSn2 relaxed with PBEsol, from the Alexandria database.

a = 6.2792 Å, b = 6.4878 Å, c = 11.4435 Å
α = 90.00°, β = 90.00°, γ = 90.00°
Fractional positions:
Na (0.8859, 0.6227, 0.0648)
Na (0.6141, 0.3773, 0.5648)
Na (0.3859, 0.8773, 0.9352)
Na (0.1141, 0.1227, 0.4352)
In (0.6045, 0.9142, 0.3924)
In (0.8955, 0.0858, 0.8924)
In (0.1045, 0.5858, 0.6076)
In (0.3955, 0.4142, 0.1076)
Sn (0.7788, 0.7239, 0.7647)
Sn (0.7212, 0.2761, 0.2647)
Sn (0.2788, 0.7761, 0.2353)
Sn (0.2212, 0.2239, 0.7353)
Sn (0.9371, 0.6170, 0.3759)
Sn (0.5629, 0.3830, 0.8759)
Sn (0.4371, 0.8830, 0.6241)
Sn (0.0629, 0.1170, 0.1241)

Output
Calculated density in g/cm3: 5.3
DFT formation energy in eV per atom: -0.227

No. 3
The following is a SCAN calculation of a crystal of Cd2CoTc relaxed with PBEsol, from the Alexandria database.

a = 2.6828 Å, b = 4.1912 Å, c = 5.5587 Å
α = 90.00°, β = 90.00°, γ = 90.00°
Site moments in Bohr magnetons follow the coordinates.
Fractional positions:
Cd (0.0000, 0.0000, 0.7558)  -0.03
Cd (0.0000, 0.0000, 0.2442)  -0.03
Co (0.5000, 0.5000, 0.0000)  2.00
Tc (0.5000, 0.5000, 0.5000)  0.92

Output
Calculated density in g/cm3: 10.1
DFT formation energy in eV per atom: 0.500

Number 1: DOS at the Fermi energy 0.920 states/eV/atom. Number 2: DOS at the Fermi energy 0.077 states/eV/atom. Number 3: DOS at the Fermi energy 0.640 states/eV/atom.